DFT (PBE) results for crystalline NdHo3Al2 at its relaxed geometry.

POSCAR file:
```
NdHo3Al2
1.0
3.549 0.000 0.000
0.000 3.549 0.000
0.000 0.000 12.608
Nd Ho Al
1 3 2
direct
0.000 0.000 0.000
0.500 0.500 0.208
0.500 0.500 0.500
0.500 0.500 0.792
0.000 0.000 0.353
0.000 0.000 0.647
```

Properties
Electronic total energy: -27.53 eV per cell
Volume: 26.469 A^3/atom
Energy of formation from the pure elements: -0.257 eV/atom
Excess energy over the best structure of this formula in the dataset: 0.000 eV/atom

DFT (PBE) results for crystalline Nd14HoAl at its relaxed geometry.

POSCAR file:
```
Nd14HoAl
1.0
11.318 0.000 0.000
0.000 4.294 5.564
0.000 -4.294 5.564
Nd Ho Al
14 1 1
direct
0.000 0.000 0.000
0.000 0.425 0.425
0.000 0.501 0.925
0.000 0.925 0.501
0.242 0.791 0.791
0.268 0.224 0.224
0.269 0.296 0.709
0.269 0.709 0.296
0.500 0.512 0.935
0.500 0.935 0.512
0.731 0.296 0.709
0.731 0.709 0.296
0.732 0.224 0.224
0.758 0.791 0.791
0.500 0.994 0.994
0.500 0.439 0.439
```

Properties
Electronic total energy: -74.78 eV per cell
Volume: 33.797 A^3/atom
Energy of formation from the pure elements: 0.018 eV/atom

DFT (PBE) results for crystalline Nd4Ho5Al at its relaxed geometry.

POSCAR file:
```
Nd4Ho5Al
1.0
-5.357 5.357 2.852
5.357 -5.357 2.852
5.357 5.357 -2.852
Nd Ho Al
4 5 1
direct
0.000 0.310 0.310
0.000 0.690 0.690
0.310 0.000 0.310
0.690 0.000 0.690
0.311 0.311 0.637
0.311 0.674 0.000
0.674 0.311 0.000
0.674 0.674 0.363
0.801 0.801 0.000
0.286 0.286 0.000
```

Properties
Electronic total energy: -44.97 eV per cell
Volume: 32.731 A^3/atom
Energy of formation from the pure elements: 0.073 eV/atom
Excess energy over the best structure of this formula in the dataset: 0.137 eV/atom

DFT (PBE) results for crystalline NdHo6Al2 at its relaxed geometry.

POSCAR file:
```
NdHo6Al2
1.0
-2.385 2.385 13.787
2.385 -2.385 13.787
2.385 2.385 -13.787
Nd Ho Al
1 6 2
direct
0.000 0.000 0.000
0.144 0.648 0.000
0.250 0.750 0.500
0.352 0.352 0.496
0.648 0.144 0.000
0.750 0.250 0.500
0.856 0.856 0.504
0.314 0.314 0.000
0.686 0.686 0.000
```

Properties
Electronic total energy: -35.27 eV per cell
Volume: 34.844 A^3/atom
Energy of formation from the pure elements: 0.494 eV/atom
Excess energy over the best structure of this formula in the dataset: 0.654 eV/atom

DFT (PBE) results for crystalline NdHo7Al5 at its relaxed geometry.

POSCAR file:
```
NdHo7Al5
1.0
-3.051 5.102 5.372
3.051 -5.102 5.372
3.051 5.102 -5.372
Nd Ho Al
1 7 5
direct
0.000 0.000 0.000
0.199 0.504 0.695
0.241 0.741 0.500
0.348 0.348 0.000
0.357 0.018 0.338
0.671 0.671 0.000
0.680 0.018 0.662
0.809 0.504 0.305
0.006 0.014 0.491
0.006 0.515 0.992
0.523 0.014 0.008
0.523 0.515 0.509
0.772 0.272 0.500
```

Properties
Electronic total energy: -58.54 eV per cell
Volume: 25.736 A^3/atom
Energy of formation from the pure elements: -0.232 eV/atom

DFT (PBE) results for crystalline NdHo4Al4 at its relaxed geometry.

POSCAR file:
```
NdHo4Al4
1.0
-4.882 4.882 2.564
4.882 -4.882 2.564
4.882 4.882 -2.564
Nd Ho Al
1 4 4
direct
0.000 0.000 0.000
0.109 0.647 0.756
0.353 0.109 0.462
0.647 0.891 0.538
0.891 0.353 0.244
0.321 0.422 0.743
0.422 0.679 0.100
0.578 0.321 0.900
0.679 0.578 0.257
```

Properties
Electronic total energy: -39.52 eV per cell
Volume: 27.153 A^3/atom
Energy of formation from the pure elements: -0.163 eV/atom

DFT (PBE) results for crystalline Nd7HoAl4 at its relaxed geometry.

POSCAR file:
```
Nd7HoAl4
1.0
7.066 -2.832 0.000
7.066 2.832 0.000
-6.038 0.000 8.855
Nd Ho Al
7 1 4
direct
0.000 0.000 0.000
0.206 0.206 0.648
0.294 0.294 0.119
0.434 0.434 0.614
0.566 0.566 0.386
0.706 0.706 0.881
0.794 0.794 0.352
0.500 0.500 0.000
0.052 0.052 0.760
0.174 0.174 0.331
0.826 0.826 0.669
0.948 0.948 0.240
```

Properties
Electronic total energy: -53.70 eV per cell
Volume: 29.534 A^3/atom
Energy of formation from the pure elements: -0.065 eV/atom

DFT (PBE) results for crystalline NdHoAl3 at its relaxed geometry.

POSCAR file:
```
NdHoAl3
1.0
1.842 -13.852 0.000
1.842 13.852 0.000
0.000 0.000 4.563
Nd Ho Al
2 2 6
direct
0.073 0.927 0.750
0.927 0.073 0.250
0.211 0.789 0.250
0.789 0.211 0.750
0.326 0.674 0.250
0.379 0.621 0.750
0.476 0.524 0.750
0.524 0.476 0.250
0.621 0.379 0.250
0.674 0.326 0.750
```

Properties
Electronic total energy: -45.56 eV per cell
Volume: 23.286 A^3/atom
Energy of formation from the pure elements: -0.442 eV/atom

DFT (PBE) results for crystalline NdHo5Al4 at its relaxed geometry.

POSCAR file:
```
NdHo5Al4
1.0
3.569 0.000 0.000
0.000 3.569 0.000
0.000 0.000 19.718
Nd Ho Al
1 5 4
direct
0.000 0.000 0.000
0.500 0.500 0.133
0.500 0.500 0.317
0.500 0.500 0.500
0.500 0.500 0.683
0.500 0.500 0.867
0.000 0.000 0.225
0.000 0.000 0.408
0.000 0.000 0.592
0.000 0.000 0.775
```

Properties
Electronic total energy: -45.75 eV per cell
Volume: 25.115 A^3/atom
Energy of formation from the pure elements: -0.312 eV/atom

DFT (PBE) results for crystalline Nd12Ho5Al2 at its relaxed geometry.

POSCAR file:
```
Nd12Ho5Al2
1.0
8.974 -4.039 0.000
8.974 4.039 0.000
-2.820 0.000 8.552
Nd Ho Al
12 5 2
direct
0.021 0.021 0.192
0.111 0.581 0.031
0.161 0.561 0.633
0.419 0.889 0.969
0.439 0.839 0.367
0.450 0.450 0.331
0.550 0.550 0.669
0.561 0.161 0.633
0.581 0.111 0.031
0.839 0.439 0.367
0.889 0.419 0.969
0.979 0.979 0.808
0.184 0.184 0.666
0.252 0.252 0.282
0.500 0.500 0.000
0.748 0.748 0.718
0.816 0.816 0.334
0.161 0.839 0.500
0.839 0.161 0.500
```

Properties
Electronic total energy: -86.42 eV per cell
Volume: 32.632 A^3/atom
Energy of formation from the pure elements: 0.062 eV/atom

DFT (PBE) results for crystalline NdHoAl4 at its relaxed geometry.

POSCAR file:
```
NdHoAl4
1.0
0.000 3.974 3.974
3.974 0.000 3.974
3.974 3.974 0.000
Nd Ho Al
1 1 4
direct
0.000 0.000 0.000
0.250 0.250 0.250
0.126 0.625 0.625
0.625 0.126 0.625
0.625 0.625 0.126
0.625 0.625 0.625
```

Properties
Electronic total energy: -27.33 eV per cell
Volume: 20.928 A^3/atom
Energy of formation from the pure elements: -0.502 eV/atom

DFT (PBE) results for crystalline NdHo5Al at its relaxed geometry.

POSCAR file:
```
NdHo5Al
1.0
-3.871 5.669 3.066
3.871 -5.669 3.066
3.871 5.669 -3.066
Nd Ho Al
1 5 1
direct
0.000 0.000 0.000
0.128 0.385 0.743
0.209 0.709 0.500
0.511 0.320 0.810
0.511 0.701 0.190
0.641 0.385 0.257
0.744 0.244 0.500
```

Properties
Electronic total energy: -26.47 eV per cell
Volume: 38.439 A^3/atom
Energy of formation from the pure elements: 0.704 eV/atom